A geometry-optimized Tb2SnRu structure. Source: Alexandria, functional GGA-PBE.

Unit cell a=4.4462 b=5.0876 c=9.3209 alpha=90.00 beta=103.79 gamma=90.00
Closest atoms and distances in Å follow each position.
Space group P2_1/m (No. 11)
Symmetry-distinct sites (fractional):
Tb (0.0772, 0.2500, 0.1544)  4 Ru 2.92
Tb (0.2663, 0.7500, 0.5330)  4 Sn 3.11-3.27, 4 Tb 3.43
Sn (0.3648, 0.2500, 0.7315)  2 Ru 2.74
Ru (0.5000, 0.0000, 0.0000)  2 Ru 2.54, 2 Sn 2.74

Its energy relative to the lowest polymorph listed for this composition is 0.2102 eV/atom. The energy of formation from the pure elements comes out at -32.1 kJ/mol of atoms. The total magnetic moment is 0.000 μB/atom.

***

A geometry-optimized Tb2SnRu structure. Source: Alexandria, functional GGA-PBE.

Unit cell a=6.3383 b=3.6788 c=8.9353 alpha=90.00 beta=107.24 gamma=90.00
Closest atoms and distances in Å follow each position.
Space group P2_1/m (No. 11)
Symmetry-distinct sites (fractional):
Tb (0.1806, 0.2500, 0.3959)  2 Ru 2.79
Tb (0.2560, 0.7500, 0.0479)  3 Ru 2.84-3.02
Sn (0.3688, 0.7500, 0.7082)  2 Ru 2.75
Ru (0.1059, 0.2500, 0.7961)  2 Sn 2.75, 5 Tb 2.79-3.02

Its energy relative to the lowest polymorph listed for this composition is 0.0000 eV/atom. The energy of formation from the pure elements comes out at -52.4 kJ/mol of atoms. The total magnetic moment is 0.000 μB/atom.

***

A geometry-optimized Tb12SnRu5 structure. Source: Alexandria, functional GGA-PBE.

Unit cell a=9.3385 b=9.6404 c=10.2354 alpha=90.00 beta=90.00 gamma=90.00
Closest atoms and distances in Å follow each position.
Space group Immm (No. 71)
Symmetry-distinct sites (fractional):
Tb (0.0000, 0.1919, 0.2327)  2 Ru 2.75-3.02
Tb (0.1867, 0.5000, 0.1723)  3 Ru 2.73-2.95
Tb (0.2284, 0.3232, 0.5000)  4 Ru 2.96-3.06
Sn (0.0000, 0.0000, 0.5000)  8 Tb 3.30-3.42
Ru (0.0000, 0.0000, 0.0000)  8 Tb 3.02-3.06, 2 Ru 3.23
Ru (0.0000, 0.3348, 0.0000)  8 Tb 2.75-2.96
Ru (0.0000, 0.5000, 0.3778)  1 Ru 2.50, 2 Tb 2.73

The energy of formation from the pure elements comes out at -36.8 kJ/mol of atoms. The total magnetic moment is 0.000 μB/atom.

***

A geometry-optimized TbSn2Ru structure. Source: Alexandria, functional GGA-PBE.

Unit cell a=3.3301 b=3.3301 c=7.6591 alpha=90.00 beta=90.00 gamma=90.00
Closest atoms and distances in Å follow each position.
Space group P4/mmm (No. 123)
Symmetry-distinct sites (fractional):
Tb (0.0000, 0.0000, 0.0000)  8 Sn 3.25, 4 Tb 3.33
Sn (0.5000, 0.5000, 0.2932)  4 Ru 2.84, 1 Sn 3.17
Ru (0.0000, 0.0000, 0.5000)  8 Sn 2.84

The energy of formation from the pure elements comes out at -30.9 kJ/mol of atoms. The total magnetic moment is 0.053 μB/atom.